Entry i
Computed, not measured: a relaxed structure of CuReTe2 at the PBE level of DFT.

Properties
N(E_F) (states/eV per atom): 0.882
Total magnetic moment (μB per atom): 0.000

abc: 5.5477 5.5477 5.5477
angles: 137.31 137.31 61.95
Closest atoms and distances in Å follow each position.
Sites, in units of the cell vectors:
Cu 0.5000 0.5000 0.0000  8 Te 2.86-3.12, 4 Re 3.12
Te 0.2500 0.7500 0.5000  4 Re 2.86, 4 Te 3.12, 4 Cu 3.12
Te 0.0000 0.0000 0.0000  4 Cu 2.86, 4 Re 3.12, 4 Te 3.12
Re 0.7500 0.2500 0.5000  8 Te 2.86-3.12, 4 Cu 3.12


Entry ii
Computed, not measured: a relaxed structure of CuReTe2 at the PBE level of DFT.

Properties
N(E_F) (states/eV per atom): 0.769
Total magnetic moment (μB per atom): 0.000

abc: 3.4574 2.9500 8.7671
angles: 105.86 90.00 90.00
Closest atoms and distances in Å follow each position.
Sites, in units of the cell vectors:
Re 0.5000 0.7500 0.7500  4 Te 2.73, 2 Re 2.95
Te 0.0000 0.9324 0.9999  2 Re 2.73, 2 Cu 2.75, 2 Te 2.95
Te 0.0000 0.5676 0.5001  2 Re 2.73, 2 Cu 2.75, 2 Te 2.95
Cu 0.5000 0.2500 0.2500  4 Te 2.75, 2 Cu 2.95


Entry iii
Computed, not measured: a relaxed structure of CuReTe2 at the PBE level of DFT.

Properties
N(E_F) (states/eV per atom): 0.752
Total magnetic moment (μB per atom): 0.000

abc: 3.8242 3.6760 6.7749
angles: 89.96 90.00 90.00
Closest atoms and distances in Å follow each position.
Sites, in units of the cell vectors:
Cu 0.0000 0.3750 0.6181  4 Re 2.65, 4 Te 2.67-2.69
Te 0.0000 0.8746 0.9085  2 Re 2.69, 2 Cu 2.69
Te 0.5000 0.3754 0.3432  2 Cu 2.67, 2 Re 2.68
Re 0.5000 0.8750 0.6302  4 Cu 2.65, 4 Te 2.68-2.69


Entry iv
Computed, not measured: a relaxed structure of CuReTe2 at the PBE level of DFT.

Properties
N(E_F) (states/eV per atom): 0.443
Total magnetic moment (μB per atom): 0.000

abc: 4.7292 4.7292 4.7292
angles: 60.00 60.00 60.00
Closest atoms and distances in Å follow each position.
Sites, in units of the cell vectors:
Te 0.7500 0.7500 0.7500  4 Re 2.90, 4 Cu 2.90
Te 0.2500 0.2500 0.2500  4 Re 2.90, 4 Cu 2.90
Cu 0.0000 0.0000 0.0000  8 Te 2.90
Re 0.5000 0.5000 0.5000  8 Te 2.90


Of all the structures shown, which is most stable? entry iii, and entry i is the least stable.